[1]
## LiPrScAl (GGA-PBE)

Data for a relaxed LiPrScAl crystal.

a = 5.1076 Å, b = 5.1076 Å, c = 5.1076 Å
α = 60.00°, β = 60.00°, γ = 60.00°
Last column: nearest neighbours and their distance in Å.
Fractional coordinates of all 4 atoms:
Li (0.0000, 0.0000, 0.0000)  4 Pr 3.13, 4 Sc 3.13
Pr (0.2500, 0.2500, 0.2500)  4 Li 3.13, 4 Al 3.13
Sc (0.7500, 0.7500, 0.7500)  4 Li 3.13, 4 Al 3.13
Al (0.5000, 0.5000, 0.5000)  4 Pr 3.13, 4 Sc 3.13

## Properties
N(E_F) in states/eV per atom: 1.085
Calculated total energy in eV per atom: -4.38



[2]
## Li2PrAlSe4 (GGA-PBE)

Data for a relaxed Li2PrAlSe4 crystal.

a = 7.9894 Å, b = 7.9894 Å, c = 7.9894 Å
α = 122.28°, β = 117.00°, γ = 90.68°
Last column: nearest neighbours and their distance in Å.
Fractional coordinates of all 16 atoms:
Li (0.0000, 0.0000, 0.0000)  6 Se 2.70-2.76
Li (0.5000, 0.0000, 0.0000)  6 Se 2.81-3.09
Li (0.5000, 0.0000, 0.5000)  6 Se 2.70-2.76
Li (0.5000, 0.5000, 0.5000)  6 Se 2.81-3.09
Pr (0.0000, 0.5000, 0.5000)  6 Se 2.93-2.95
Pr (0.5000, 0.5000, 0.0000)  6 Se 2.93-2.95
Al (0.0000, 0.0000, 0.5000)  6 Se 2.62-2.81
Al (0.0000, 0.5000, 0.0000)  6 Se 2.62-2.81
Se (0.1999, 0.2385, 0.9615)  2 Al 2.62, 1 Li 2.70
Se (0.2230, 0.7615, 0.4615)  2 Al 2.62, 1 Li 2.70
Se (0.2499, 0.2341, 0.4842)  3 Li 2.76-2.81, 1 Al 2.81, 2 Pr 2.93
Se (0.2499, 0.7657, 0.0158)  3 Li 2.76-2.81, 1 Al 2.81, 2 Pr 2.93
Se (0.7501, 0.2343, 0.9842)  3 Li 2.76-2.81, 1 Al 2.81, 2 Pr 2.93
Se (0.7501, 0.7659, 0.5158)  3 Li 2.76-2.81, 1 Al 2.81, 2 Pr 2.93
Se (0.7770, 0.2385, 0.5385)  2 Al 2.62, 1 Li 2.70
Se (0.8001, 0.7615, 0.0385)  2 Al 2.62, 1 Li 2.70

## Properties
Formation energy without anion corrections in eV/f.u.: -10.0



[3]
## Li2PrAl2Si2 (GGA-PBE)

Data for a relaxed Li2PrAl2Si2 crystal.

a = 4.2802 Å, b = 4.2802 Å, c = 8.3068 Å
α = 104.93°, β = 104.93°, γ = 60.11°
Last column: nearest neighbours and their distance in Å.
Fractional coordinates of all 7 atoms:
Li (0.1445, 0.1445, 0.4335)  2 Si 2.60-2.91, 3 Al 2.64, 3 Li 2.69
Li (0.8555, 0.8555, 0.5665)  2 Si 2.60-2.91, 3 Al 2.64, 3 Li 2.69
Pr (0.0000, 0.0000, 0.0000)  6 Si 3.11, 2 Li 3.44
Al (0.4389, 0.4389, 0.3161)  3 Si 2.55, 3 Li 2.64
Al (0.5611, 0.5611, 0.6839)  3 Si 2.55, 3 Li 2.64
Si (0.2537, 0.2537, 0.7620)  3 Al 2.55, 1 Li 2.60
Si (0.7463, 0.7463, 0.2380)  3 Al 2.55, 1 Li 2.60

## Properties
Formation energy without anion corrections in eV/f.u.: -2.6
N(E_F) in states/eV per atom: 0.298



[4]
## Li2PrAlSn2 (GGA-PBE)

Data for a relaxed Li2PrAlSn2 crystal.

a = 4.5036 Å, b = 8.3735 Å, c = 7.6736 Å
α = 90.00°, β = 90.00°, γ = 90.00°
Last column: nearest neighbours and their distance in Å.
Fractional coordinates of all 12 atoms:
Li (0.0000, 0.0715, 0.0000)  5 Sn 3.05-3.27, 2 Li 3.26
Li (0.0000, 0.9285, 0.5000)  5 Sn 3.05-3.27, 2 Li 3.26
Li (0.5000, 0.1654, 0.3342)  4 Sn 2.76-2.82
Li (0.5000, 0.8346, 0.8342)  4 Sn 2.76-2.82
Pr (0.5000, 0.4367, 0.9667)  5 Sn 3.21-3.29, 4 Al 3.30-3.55, 1 Li 3.48
Pr (0.5000, 0.5633, 0.4667)  5 Sn 3.21-3.29, 4 Al 3.30-3.55, 1 Li 3.48
Al (0.0000, 0.3188, 0.6324)  4 Sn 2.75-2.92
Al (0.0000, 0.6812, 0.1324)  4 Sn 2.75-2.92
Sn (0.0000, 0.3513, 0.2552)  3 Li 2.80-3.05, 2 Al 2.91-2.92
Sn (0.0000, 0.6487, 0.7552)  3 Li 2.80-3.05, 2 Al 2.91-2.92
Sn (0.5000, 0.1402, 0.7009)  2 Al 2.75, 2 Li 2.76-2.82
Sn (0.5000, 0.8598, 0.2009)  2 Al 2.75, 2 Li 2.76-2.82

## Properties
N(E_F) in states/eV per atom: 0.194
Calculated total energy in eV per atom: -3.83



Per-record total moment, μB per formula unit: 0.00; 0.00; 0.00; 0.00